A relaxed structure of YGa3Ru. Source: Alexandria via LeMat-Bulk, functional PBE-GGA.

Summary:
crystal system = cubic
formation energy = -1.26 eV/f.u.

Cell and atoms, written as POSCAR:
```
YGa3Ru
1.0
-0.9883 3.7241 -2.8793
1.7856 -2.4256 -3.7502
-4.3556 -1.8395 -0.8841
Y Ga Ru
1 3 1
Direct
0.5000 0.5000 0.5000
0.5000 0.0000 0.0000
0.0000 0.5000 0.0000
0.0000 0.0000 0.5000
0.0000 0.0000 0.0000
```

***

A relaxed structure of ZrCrB. Source: Alexandria via LeMat-Bulk, functional PBE-GGA.

Summary:
crystal system = monoclinic
formation energy = -0.92 eV/f.u.

Cell and atoms, written as POSCAR:
```
ZrCrB
1.0
-1.3927 2.5678 -3.7726
-2.6299 -1.6517 -0.1534
-4.4917 6.4984 7.0341
B Cr Zr
4 4 4
Direct
0.5966 0.0000 0.7678
0.4034 0.5000 0.7322
0.5966 0.5000 0.2678
0.4034 0.0000 0.2322
0.6426 0.5000 0.9215
0.3574 0.5000 0.0785
0.3574 0.0000 0.5785
0.6426 0.0000 0.4215
0.1311 0.5000 0.3652
0.8689 0.5000 0.6348
0.1311 0.0000 0.8652
0.8689 0.0000 0.1348
```

***

A relaxed structure of LaErCoNi. Source: Alexandria via LeMat-Bulk, functional PBE-GGA.

Summary:
crystal system = cubic
formation energy = -0.69 eV/f.u.

Cell and atoms, written as POSCAR:
```
LaErCoNi
1.0
4.8401 0.0000 0.0000
2.4200 4.1916 0.0000
2.4200 1.3972 3.9519
Co Er La Ni
1 1 1 1
Direct
0.2500 0.2500 0.2500
0.5000 0.5000 0.5000
0.0000 0.0000 0.0000
0.7500 0.7500 0.7500
```

***

A relaxed structure of Rb2AlCdBr6. Source: Alexandria via LeMat-Bulk, functional PBE-GGA.

Summary:
crystal system = tetragonal
energy relative to the elements, uncorrected = -1.2003 eV per atom

Cell and atoms, written as POSCAR:
```
Rb2AlCdBr6
1.0
-6.7087 -3.9051 0.3940
0.7712 -0.5464 7.7148
-5.7009 2.5294 4.6643
Rb Br Al Cd
2 6 1 1
Direct
0.7500 0.2500 0.5000
0.2500 0.7500 0.5000
0.7342 0.2658 0.0000
0.7337 0.7337 0.5327
0.2658 0.2658 0.0000
0.2658 0.7342 0.0000
0.7342 0.7342 0.0000
0.2663 0.2663 0.4673
0.5000 0.5000 0.0000
0.0000 0.0000 0.0000
```

***

A relaxed structure of BaSr2CaBr. Source: Alexandria via LeMat-Bulk, functional PBE-GGA.

Summary:
crystal system = tetragonal
energy relative to the elements, uncorrected = -0.4622 eV per atom

Cell and atoms, written as POSCAR:
```
BaSr2CaBr
1.0
-4.1313 -3.6376 -2.7806
3.4231 0.0333 -5.1295
3.2348 -5.2977 2.1243
Sr Ba Br Ca
2 1 1 1
Direct
0.0000 0.5000 0.0000
0.5000 0.0000 0.0000
0.0000 0.0000 0.5000
0.0000 0.0000 0.0000
0.5000 0.5000 0.5000
```

***

A relaxed structure of Ta2WAu. Source: Alexandria via LeMat-Bulk, functional PBE-GGA.

Summary:
crystal system = tetragonal
formation energy = 0.47 eV/f.u.

Cell and atoms, written as POSCAR:
```
Ta2WAu
1.0
3.3747 0.0000 0.0000
0.0000 3.3747 0.0000
0.0000 0.0000 6.1538
Ta Au W
2 1 1
Direct
0.0000 0.0000 0.0021
0.5000 0.5000 0.2587
0.5000 0.5000 0.7521
0.0000 0.0000 0.4871
```

***

A relaxed structure of LaTbIr. Source: Alexandria via LeMat-Bulk, functional PBE-GGA.

Summary:
crystal system = triclinic
formation energy = -1.84 eV/f.u.

Cell and atoms, written as POSCAR:
```
LaTbIr
1.0
-3.3117 -1.6513 3.2550
3.5617 -2.4521 2.3796
1.1360 5.5792 3.9550
Tb Ir La
2 2 2
Direct
0.9993 0.4988 0.7500
0.0007 0.5012 0.2500
0.5000 0.5000 0.5000
0.0000 0.0000 0.0000
0.4991 0.9986 0.7500
0.5009 0.0014 0.2500
```

***

A relaxed structure of TiBeAl2. Source: Alexandria via LeMat-Bulk, functional PBE-GGA.

Summary:
crystal system = tetragonal
formation energy = -0.42 eV/f.u.

Cell and atoms, written as POSCAR:
```
TiBeAl2
1.0
-2.1200 0.1652 -2.0197
-2.0205 0.0512 2.1251
0.3483 6.5791 0.1727
Ti Al Be
1 2 1
Direct
0.5000 0.5000 0.5000
0.0000 0.0000 0.7832
0.0000 0.0000 0.2168
0.5000 0.5000 0.0000
```

***

A relaxed structure of SmCuPb. Source: Alexandria via LeMat-Bulk, functional PBE-GGA.

Summary:
crystal system = hexagonal
formation energy = -0.97 eV/f.u.

Cell and atoms, written as POSCAR:
```
SmCuPb
1.0
3.8154 0.0000 0.0000
0.0000 4.6598 0.0000
0.0000 -2.3299 4.0355
Sm Pb Cu
1 1 1
Direct
0.6668 0.6667 0.3333
0.1672 0.3333 0.6667
0.1660 0.0000 0.0000
```

***

A relaxed structure of RbBaNb. Source: Alexandria via LeMat-Bulk, functional PBE-GGA.

Summary:
crystal system = triclinic
formation energy = 2.22 eV/f.u.

Cell and atoms, written as POSCAR:
```
RbBaNb
1.0
10.6780 -0.0569 -0.0169
-1.4323 6.9721 -0.1391
0.0315 1.2412 3.8148
Nb Rb Ba
2 2 2
Direct
0.1691 0.4973 0.7383
0.2736 0.6890 0.1413
0.4740 0.3257 0.8207
0.6444 0.8943 0.5317
0.9175 0.4943 0.2427
0.1332 0.0333 0.4713
```

***

A relaxed structure of MnCo2Mo. Source: Alexandria via LeMat-Bulk, functional PBE-GGA.

Summary:
crystal system = tetragonal
formation energy = 0.53 eV/f.u.

Cell and atoms, written as POSCAR:
```
MnCo2Mo
1.0
4.2067 0.0000 0.0000
0.0000 4.2067 0.0000
0.0000 0.0000 2.8929
Mo Co Mn
1 2 1
Direct
0.0000 0.5000 0.5000
0.5000 0.5000 0.0000
0.0000 0.0000 0.0000
0.5000 0.0000 0.5000
```

***

A relaxed structure of Zn2TeAu. Source: Alexandria via LeMat-Bulk, functional PBE-GGA.

Summary:
crystal system = tetragonal
energy relative to the elements, uncorrected = -0.0013 eV per atom

Cell and atoms, written as POSCAR:
```
Zn2TeAu
1.0
-6.0440 -0.2613 0.7018
0.5552 -5.3939 2.7728
-2.2506 -0.0605 7.0211
Au Zn Te
2 4 2
Direct
0.7500 0.2500 0.5000
0.0000 0.0000 0.0000
0.8750 0.8909 0.7500
0.1091 0.6250 0.2500
0.3750 0.3591 0.7500
0.6409 0.1250 0.2500
0.2500 0.7500 0.5000
0.5000 0.5000 0.0000
```

***

A relaxed structure of HfAgCl6. Source: Alexandria via LeMat-Bulk, functional PBE-GGA.

Summary:
crystal system = monoclinic
energy relative to the elements, uncorrected = -1.2366 eV per atom

Cell and atoms, written as POSCAR:
```
HfAgCl6
1.0
6.4070 0.4204 -1.3610
-1.5411 6.2331 -1.3610
0.4173 0.5706 6.6409
Cl Hf Ag
6 1 1
Direct
0.7379 0.0864 0.7269
0.2621 0.9136 0.2731
0.2562 0.2562 0.9160
0.0864 0.7379 0.7269
0.7438 0.7438 0.0840
0.9136 0.2621 0.2731
0.0000 0.0000 0.0000
0.0000 0.0000 0.5000
```